(1)
K2YTaO6 | Alexandria | PBE | relaxed; V = 15.60 Å³ per atom; E = -73.6 eV/f.u.; formation energy (no corrections) = -226 kJ/mol of atoms
1.0
0.0000 4.2725 4.2725
4.2725 0.0000 4.2725
4.2725 4.2725 0.0000
K Y Ta O
2 1 1 6
Cartesian
2.1362 2.1362 2.1362
6.4087 6.4087 6.4087
0.0000 0.0000 0.0000
4.2725 4.2725 4.2725
4.2725 4.2725 2.2746
4.2725 2.2746 4.2725
6.2704 4.2725 4.2725
2.2746 4.2725 4.2725
4.2725 6.2704 4.2725
4.2725 4.2725 6.2704



(2)
K3YTa2O8 | Alexandria | PBE | relaxed; V = 18.43 Å³ per atom; E = -110.7 eV/f.u.; formation energy (no corrections) = -259 kJ/mol of atoms
1.0
6.1955 0.0000 0.0000
-3.0978 5.3655 0.0000
0.0000 0.0000 7.7628
K Y Ta O
3 1 2 8
Cartesian
0.0000 0.0000 0.0000
0.0000 3.5770 5.2588
3.0978 1.7885 2.5040
0.0000 0.0000 3.8814
0.0000 3.5770 1.8201
3.0978 1.7885 5.9427
0.0000 1.8214 2.5117
-1.5204 4.4548 2.5117
0.0000 3.5770 7.7626
1.5774 0.9107 5.2511
1.5204 4.4548 2.5117
3.0978 1.7885 0.0002
4.6181 0.9107 5.2511
3.0978 3.5441 5.2511



(3)
KTaZn2O6 | Alexandria | PBE | relaxed; V = 18.02 Å³ per atom; E = -62.7 eV/f.u.; formation energy (no corrections) = -169 kJ/mol of atoms
1.0
5.2460 -5.8864 0.0000
5.2460 5.8864 0.0000
-3.2697 0.0000 5.8355
K Ta Zn O
2 2 4 12
Cartesian
2.7937 4.4340 4.3766
4.4285 -4.4340 1.4589
4.4285 3.7664 1.4589
2.7937 -3.7664 4.3766
0.7303 0.9247 5.2207
2.3651 -0.9247 2.3029
4.8571 0.9247 3.5326
6.4920 -0.9247 0.6148
-0.9744 0.9670 4.2668
1.1669 2.7578 5.7360
0.6605 -0.9670 1.3490
4.4205 2.7578 3.0172
2.1331 0.1499 4.0098
3.7680 -0.1499 1.0920
3.4543 0.1499 4.7435
5.0891 -0.1499 1.8257
2.8018 -2.7578 2.8183
6.5618 0.9670 4.4864
6.0553 -2.7578 0.0994
8.1966 -0.9670 1.5687



(4)
KTa3Zn4O12 | Alexandria | PBE | relaxed; V = 13.94 Å³ per atom; E = -144.9 eV/f.u.; formation energy (no corrections) = -211 kJ/mol of atoms
1.0
5.6464 3.2599 2.5236
-5.6464 3.2599 2.5236
0.0000 -6.5199 2.5236
K Ta Zn O
1 3 4 12
Cartesian
0.0000 0.0000 0.0000
-3.1438 -1.0747 2.5236
-3.1437 1.0747 5.0472
0.6411 3.2599 2.5236
-2.4997 -4.3296 3.7854
0.0000 0.0000 3.7854
-2.4997 4.3296 3.7854
4.9994 0.0000 3.7854
-3.3838 -2.6562 3.5468
-4.4041 0.0000 3.7854
-0.6084 -4.2586 4.0241
-1.9145 0.0000 3.7854
-3.3838 2.6562 4.0241
2.2021 -3.8141 3.7854
0.9573 -1.6580 3.7854
-0.6084 4.2586 3.5468
0.9573 1.6580 3.7854
3.9923 -1.6024 3.5468
2.2021 3.8141 3.7854
3.9923 1.6024 4.0241



(5)
K2TaZnO4 | Alexandria | PBE | relaxed; V = 17.28 Å³ per atom; E = -50.4 eV/f.u.; formation energy (no corrections) = -183 kJ/mol of atoms
1.0
-3.0187 3.0187 3.7931
3.0187 -3.0187 3.7931
3.0187 3.0187 -3.7931
K Ta Zn O
2 1 1 4
Cartesian
0.0000 0.0000 0.0000
0.0000 3.0187 1.8965
0.0000 0.0000 3.7931
3.0187 0.0000 1.8965
1.4234 2.2238 -0.7348
3.8136 1.4234 0.7348
1.5953 0.7949 3.0583
-0.7949 1.5953 4.5278



(6)
KZrTa2O8 | Alexandria | PBE | relaxed; V = 17.51 Å³ per atom; E = -104.3 eV/f.u.; formation energy (no corrections) = -252 kJ/mol of atoms
1.0
4.5627 -3.2044 0.0000
4.5627 3.2044 0.0000
-1.6400 0.0000 7.1876
K Zr Ta O
1 1 2 8
Cartesian
0.0000 0.0000 0.0000
-0.8200 0.0000 3.5938
2.5951 0.0000 5.6461
4.8903 0.0000 1.5415
3.1636 1.6872 4.9714
1.0329 0.0000 4.5387
4.3218 1.6872 2.2162
3.3052 0.0000 0.1236
4.1802 0.0000 7.0640
3.1636 -1.6872 4.9714
6.4525 0.0000 2.6489
4.3218 -1.6872 2.2162



(7)
KZr2TaO8 | Alexandria | PBE | relaxed; V = 14.27 Å³ per atom; E = -100.5 eV/f.u.; formation energy (no corrections) = -247 kJ/mol of atoms
1.0
3.4208 -3.3706 0.0000
3.4208 3.3706 0.0000
-0.4632 0.0000 7.4265
K Zr Ta O
1 2 1 8
Cartesian
0.0000 0.0000 0.0000
2.9171 0.0000 5.2954
3.4612 0.0000 2.1311
-0.2316 0.0000 3.7132
3.0642 2.0097 2.2664
3.3141 2.0097 5.1600
1.8083 0.0000 3.5759
2.2074 0.0000 7.3449
4.1710 0.0000 0.0816
4.5701 0.0000 3.8506
3.0642 -2.0097 2.2664
3.3141 -2.0097 5.1600



(8)
KTbO3 | Alexandria | PBE | relaxed; V = 18.22 Å³ per atom; E = -29.9 eV/f.u.; formation energy (no corrections) = -180 kJ/mol of atoms
1.0
4.4998 0.0000 0.0000
0.0000 4.4998 0.0000
0.0000 0.0000 4.4998
K Tb O
1 1 3
Cartesian
0.0000 0.0000 0.0000
2.2499 2.2499 2.2499
0.0000 2.2499 2.2499
2.2499 0.0000 2.2499
2.2499 2.2499 0.0000



(9)
KTbO | Alexandria | PBE | relaxed; V = 25.15 Å³ per atom; E = -13.6 eV/f.u.; formation energy (no corrections) = -93 kJ/mol of atoms
1.0
14.5593 0.0000 0.0000
0.0000 1.7363 2.9844
0.0000 -1.7363 2.9844
K Tb O
2 2 2
Cartesian
1.5737 0.0000 0.0000
12.9856 0.0000 0.0000
5.6936 0.0000 3.3298
8.8658 0.0000 3.3298
0.0000 0.0000 3.9686
7.2797 0.0000 5.3043



(10)
KTb2O | Alexandria | PBE | relaxed; V = 28.12 Å³ per atom; E = -19.6 eV/f.u.; formation energy (no corrections) = -104 kJ/mol of atoms
1.0
1.7948 1.0363 10.0785
-1.7948 1.0363 10.0785
0.0000 -2.0725 10.0785
K Tb O
1 2 1
Cartesian
0.0000 0.0000 0.0000
0.0000 0.0000 3.7360
0.0000 0.0000 26.4994
0.0000 0.0000 15.1177



(11)
KTb2TcO8 | Alexandria | PBE | relaxed; V = 15.68 Å³ per atom; E = -85.9 eV/f.u.; formation energy (no corrections) = -205 kJ/mol of atoms
1.0
5.3457 0.0000 0.0000
1.4078 5.2199 0.0000
2.1038 0.3082 6.7436
K Tb Tc O
1 2 1 8
Cartesian
0.0000 0.0000 0.0000
3.1235 2.3939 2.1512
5.7339 3.1342 4.5923
1.0519 0.1541 3.3718
2.0563 1.5681 4.1720
1.9166 0.5327 1.7579
3.8247 4.0505 3.7385
4.7828 3.1849 6.6717
4.0745 2.3432 0.0718
5.0327 1.4776 3.0051
6.9408 4.9955 4.9857
6.8011 3.9601 2.5716



(12)
KTbTc2O8 | Alexandria | PBE | relaxed; V = 19.77 Å³ per atom; E = -89.2 eV/f.u.; formation energy (no corrections) = -185 kJ/mol of atoms
1.0
5.9955 0.0000 0.0000
-2.9977 5.1922 0.0000
0.0000 0.0000 7.6227
K Tb Tc O
1 1 2 8
Cartesian
0.0000 0.0000 0.0000
0.0000 0.0000 3.8114
0.0000 3.4615 5.8335
2.9977 1.7307 1.7892
-0.0086 1.7684 5.2233
-1.4620 4.3155 5.2233
0.0000 3.4615 7.5783
1.5272 0.8916 2.3995
1.4706 4.3006 5.2233
2.9977 1.7307 0.0444
4.4597 0.8768 2.3995
3.0063 3.4238 2.3995



(13)
K2TbTe2O6 | Alexandria | PBE | relaxed; V = 20.32 Å³ per atom; E = -60.9 eV/f.u.; formation energy (no corrections) = -158 kJ/mol of atoms
1.0
4.9753 -3.4290 0.0000
4.9753 3.4290 0.0000
-2.7377 0.0000 6.5517
K Tb Te O
2 1 2 6
Cartesian
1.6320 0.0000 0.8319
5.5810 0.0000 5.7198
-1.3688 0.0000 3.2758
2.1992 0.0000 4.9443
5.0138 0.0000 1.6074
2.4001 1.9178 4.4485
0.2940 0.0000 4.9892
4.8129 1.9178 2.1031
2.4001 -1.9178 4.4485
6.9190 0.0000 1.5624
4.8129 -1.9178 2.1031



(14)
KTbTeO4 | Alexandria | PBE | relaxed; V = 19.00 Å³ per atom; E = -43.1 eV/f.u.; formation energy (no corrections) = -199 kJ/mol of atoms
1.0
5.8877 0.0000 0.0000
0.0000 6.0304 0.0000
-2.5041 0.0000 7.4913
K Tb Te O
2 2 2 8
Cartesian
0.0642 1.5076 1.1167
3.3194 4.5228 6.3746
-0.1579 4.5228 3.4591
3.5415 1.5076 4.0322
0.5768 1.5076 5.6066
2.8068 4.5228 1.8846
-0.7022 0.0579 5.0295
-0.7022 2.9572 5.0295
0.8093 4.5228 1.4215
1.2361 1.5076 3.7840
2.1475 4.5228 3.7073
2.5743 1.5076 6.0698
4.0858 3.0731 2.4617
4.0858 5.9724 2.4617



(15)
K3TbTe2O9 | Alexandria | PBE | relaxed; V = 14.18 Å³ per atom; E = -84.2 eV/f.u.; formation energy (no corrections) = -163 kJ/mol of atoms
1.0
5.8398 0.0000 0.0000
-2.9199 5.0574 0.0000
0.0000 0.0000 7.2032
K Tb Te O
3 1 2 9
Cartesian
0.0000 0.0000 0.0000
0.0000 3.3716 4.8159
2.9199 1.6858 2.3873
0.0000 0.0000 3.6016
0.0000 3.3716 1.2007
2.9199 1.6858 6.0025
-1.4600 2.5287 0.0000
0.0000 1.7873 2.2484
-1.3721 4.1638 2.2484
1.5478 0.8936 4.9548
2.9199 0.0000 0.0000
1.4600 2.5287 0.0000
1.3721 4.1638 2.2484
4.2920 0.8936 4.9548
2.9199 3.2702 4.9548



(16)
KTbTe2O8 | Alexandria | PBE | relaxed; V = 20.07 Å³ per atom; E = -70.6 eV/f.u.; formation energy (no corrections) = -152 kJ/mol of atoms
1.0
6.0115 0.0000 0.0000
-3.0058 5.2061 0.0000
0.0000 0.0000 7.6964
K Tb Te O
1 1 2 8
Cartesian
0.0000 0.0000 0.0000
0.0000 0.0000 3.8482
0.0000 3.4708 5.9254
3.0058 1.7354 1.7710
-0.0525 1.7461 5.2756
-1.4674 4.3786 5.2756
0.0000 3.4708 0.0480
1.4859 0.9185 2.4208
1.5199 4.2877 5.2756
3.0058 1.7354 7.6484
4.4732 0.8276 2.4208
3.0583 3.4601 2.4208



(17)
K4TbTe3O12 | Alexandria | PBE | relaxed; V = 14.12 Å³ per atom; E = -109.1 eV/f.u.; formation energy (no corrections) = -150 kJ/mol of atoms
1.0
-4.1332 4.1332 4.1332
4.1332 -4.1332 4.1332
4.1332 4.1332 -4.1332
K Tb Te O
4 1 3 12
Cartesian
2.0666 2.0666 -2.0666
2.0666 -2.0666 2.0666
-2.0666 2.0666 2.0666
2.0666 2.0666 2.0666
0.0000 0.0000 0.0000
4.1332 0.0000 0.0000
0.0000 4.1332 0.0000
0.0000 0.0000 4.1332
2.2249 0.0000 0.0000
6.0415 0.0000 0.0000
4.1332 2.0666 0.0000
4.1332 0.0000 2.0666
0.0000 2.2249 0.0000
0.0000 0.0000 2.2249
2.0666 4.1332 0.0000
2.0666 0.0000 4.1332
0.0000 6.0415 0.0000
0.0000 0.0000 6.0415
0.0000 4.1332 2.0666
0.0000 2.0666 4.1332



(18)
K2Tb2TeO6 | Alexandria | PBE | relaxed; V = 18.00 Å³ per atom; E = -69.4 eV/f.u.; formation energy (no corrections) = -219 kJ/mol of atoms
1.0
2.9985 -5.1752 0.0000
2.9985 5.1752 0.0000
-1.8896 0.0000 6.3812
K Tb Te O
2 2 1 6
Cartesian
2.9985 3.4777 0.0000
2.9985 -3.4777 0.0000
2.0537 1.7091 3.1906
2.0537 -1.7091 3.1906
-0.9448 0.0000 3.1906
0.0126 1.7116 4.3147
0.9523 0.0000 2.0638
0.0126 -1.7116 4.3147
4.0948 1.7116 2.0665
3.1551 0.0000 4.3175
4.0948 -1.7116 2.0665



(19)
K3Tb3TiO8 | Alexandria | PBE | relaxed; V = 16.64 Å³ per atom; E = -106.9 eV/f.u.; formation energy (no corrections) = -271 kJ/mol of atoms
1.0
3.3832 1.9533 6.2953
-3.3832 1.9533 6.2953
0.0000 -3.9065 6.2953
K Tb Ti O
3 3 1 8
Cartesian
-1.6916 -0.9766 6.2953
-1.6916 0.9766 12.5906
0.0000 1.9533 6.2953
-3.3832 0.0000 9.4430
-1.6916 0.9766 3.1476
1.6916 0.9766 3.1477
0.0000 0.0000 9.4430
0.0000 0.0000 4.3110
-1.5107 -0.8722 10.5150
0.0000 -1.7444 8.3709
-1.5107 0.8722 8.3709
1.5107 -0.8722 10.5150
0.0000 1.7444 10.5150
1.5107 0.8722 8.3709
0.0000 0.0000 14.5749



(20)
KTbTi4O12 | Alexandria | PBE | relaxed; V = 12.97 Å³ per atom; E = -140.7 eV/f.u.; formation energy (no corrections) = -235 kJ/mol of atoms
1.0
7.7666 0.0000 0.0000
0.0000 3.8740 3.8792
0.0000 -3.8740 3.8792
K Tb Ti O
1 1 4 12
Cartesian
0.0000 0.0000 0.0000
3.8833 0.0000 3.7029
1.8928 -1.8958 5.7557
1.8928 1.8958 5.7557
5.8738 -1.8958 5.7557
5.8738 1.8958 5.7557
0.0000 -1.8397 5.7738
0.0000 1.8397 5.7738
1.9363 0.0000 1.9742
2.1241 -1.8849 3.8433
2.1241 1.8849 3.8433
2.2788 0.0000 5.6672
3.8833 -1.6569 2.0056
3.8833 1.6569 2.0056
5.4878 0.0000 5.6672
5.6425 -1.8849 3.8433
5.6425 1.8849 3.8433
5.8303 0.0000 1.9742